This record from Alexandria describes a geometry-optimized Rb2TlAgHg structure. The functional is GGA-PBE.

a = 6.8235 Å, b = 6.8235 Å, c = 5.3653 Å
α = 90.00°, β = 90.00°, γ = 90.00°
Space group P4/mmm (No. 123)
One atom of each set of equivalent atoms:
Rb: 0.0000 0.5000 0.0000 (multiplicity 2)
Tl: 0.0000 0.0000 0.5000 (multiplicity 1)
Ag: 0.0000 0.0000 0.0000 (multiplicity 1)
Hg: 0.5000 0.5000 0.5000 (multiplicity 1)

Values from the calculation:
- formation energy from the elements (kcal/mol of atoms) = 1.208

---

This record from Alexandria describes a geometry-optimized Tb11Sm4Dy9 structure. The functional is GGA-PBE.

a = 16.7405 Å, b = 25.1820 Å, c = 3.6814 Å
α = 90.00°, β = 90.00°, γ = 90.00°
Space group Cmmm (No. 65)
One atom of each set of equivalent atoms:
Tb: 0.0000 0.0000 0.0000 (multiplicity 2)
Tb: 0.0000 0.1590 0.0000 (multiplicity 4)
Tb: 0.0000 0.3657 0.0000 (multiplicity 4)
Tb: 0.2097 0.5000 0.0000 (multiplicity 4)
Tb: 0.2263 0.1811 0.0000 (multiplicity 8)
Sm: 0.1545 0.3993 0.5000 (multiplicity 8)
Dy: 0.0000 0.5000 0.5000 (multiplicity 2)
Dy: 0.1016 0.2644 0.5000 (multiplicity 8)
Dy: 0.1399 0.0728 0.5000 (multiplicity 8)

Values from the calculation:
- formation energy from the elements (kcal/mol of atoms) = 1.283

---

This record from Alexandria describes a geometry-optimized Nd2ErCu2 structure. The functional is GGA-PBE.

a = 11.8943 Å, b = 4.6574 Å, c = 10.4703 Å
α = 90.00°, β = 121.41°, γ = 90.00°
Space group C2/m (No. 12)
One atom of each set of equivalent atoms:
Nd: 0.0355 0.0000 0.1916 (multiplicity 4)
Nd: 0.1798 0.0000 0.5908 (multiplicity 4)
Er: 0.1986 0.5000 0.8555 (multiplicity 4)
Cu: 0.0441 0.5000 0.4104 (multiplicity 4)
Cu: 0.1249 0.5000 0.0674 (multiplicity 4)

Values from the calculation:
- formation energy from the elements (kcal/mol of atoms) = -2.521

---

This record from Alexandria describes a geometry-optimized Pm10PrEr6 structure. The functional is GGA-PBE.

a = 9.8068 Å, b = 9.8068 Å, c = 6.8861 Å
α = 90.00°, β = 90.00°, γ = 120.00°
Space group P-31m (No. 162)
One atom of each set of equivalent atoms:
Pm: 0.0000 0.2782 0.3193 (multiplicity 6)
Pm: 0.3333 0.6667 0.0000 (multiplicity 2)
Pm: 0.3333 0.6667 0.5000 (multiplicity 2)
Pr: 0.0000 0.0000 0.0000 (multiplicity 1)
Er: 0.0000 0.3711 0.8102 (multiplicity 6)

Values from the calculation:
- formation energy from the elements (kcal/mol of atoms) = 3.074

---

This record from Alexandria describes a geometry-optimized TcHg2Ge structure. The functional is GGA-PBE.

a = 9.0533 Å, b = 9.0533 Å, c = 4.8651 Å
α = 90.00°, β = 90.00°, γ = 90.00°
Space group I-42d (No. 122)
One atom of each set of equivalent atoms:
Tc: 0.0000 0.0000 0.0000 (multiplicity 4)
Hg: 0.1526 0.2500 0.1250 (multiplicity 8)
Ge: 0.0000 0.0000 0.5000 (multiplicity 4)

Values from the calculation:
- formation energy from the elements (kcal/mol of atoms) = 14.444

---

This record from Alexandria describes a geometry-optimized ThMg2AlPt4 structure. The functional is GGA-PBE.

a = 4.4074 Å, b = 4.4074 Å, c = 25.9234 Å
α = 90.00°, β = 90.00°, γ = 120.00°
Space group R-3m (No. 166, hexagonal axes)
One atom of each set of equivalent atoms:
Th: 0.0000 0.0000 0.0000 (multiplicity 3)
Mg: 0.0000 0.0000 0.2392 (multiplicity 6)
Al: 0.0000 0.0000 0.5000 (multiplicity 3)
Pt: 0.0000 0.0000 0.1346 (multiplicity 6)
Pt: 0.0000 0.0000 0.3990 (multiplicity 6)

Values from the calculation:
- formation energy from the elements (kcal/mol of atoms) = -23.210

---

This record from Alexandria describes a geometry-optimized NbGe2BC structure. The functional is GGA-PBE.

a = 4.0129 Å, b = 4.0129 Å, c = 4.5772 Å
α = 90.00°, β = 90.00°, γ = 90.00°
Space group P4/mmm (No. 123)
One atom of each set of equivalent atoms:
Nb: 0.0000 0.0000 0.0000 (multiplicity 1)
Ge: 0.0000 0.5000 0.5000 (multiplicity 2)
B: 0.0000 0.0000 0.5000 (multiplicity 1)
C: 0.5000 0.5000 0.0000 (multiplicity 1)

Values from the calculation:
- formation energy from the elements (kcal/mol of atoms) = 32.831

---

This record from Alexandria describes a geometry-optimized MnRhPb2 structure. The functional is GGA-PBE.

a = 8.8548 Å, b = 3.4128 Å, c = 5.7284 Å
α = 90.00°, β = 102.54°, γ = 90.00°
Space group C2/m (No. 12)
One atom of each set of equivalent atoms:
Mn: 0.0000 0.0000 0.0000 (multiplicity 2)
Rh: 0.0000 0.5000 0.5000 (multiplicity 2)
Pb: 0.2428 0.0000 0.7391 (multiplicity 4)

Values from the calculation:
- excess energy over the best structure of this formula in the dataset (meV per atom) = 244
- formation energy from the elements (kcal/mol of atoms) = 7.239

---

This record from Alexandria describes a geometry-optimized HfTlOs structure. The functional is GGA-PBE.

a = 3.2689 Å, b = 4.0843 Å, c = 10.1815 Å
α = 90.00°, β = 90.98°, γ = 90.00°
Space group P2_1/m (No. 11)
One atom of each set of equivalent atoms:
Hf: 0.2459 0.2500 0.4104 (multiplicity 2)
Tl: 0.3304 0.7500 0.8842 (multiplicity 2)
Os: 0.2577 0.2500 0.6709 (multiplicity 2)

Values from the calculation:
- excess energy over the best structure of this formula in the dataset (meV per atom) = 84
- formation energy from the elements (kcal/mol of atoms) = -0.170

---

This record from Alexandria describes a geometry-optimized YAsH2Ru structure. The functional is GGA-PBE.

a = 3.9659 Å, b = 10.1323 Å, c = 6.0911 Å
α = 90.00°, β = 90.00°, γ = 90.00°
Space group Cmcm (No. 63)
One atom of each set of equivalent atoms:
Y: 0.0000 0.2119 0.2500 (multiplicity 4)
As: 0.0000 0.0720 0.7500 (multiplicity 4)
H: 0.0000 0.3323 0.5618 (multiplicity 8)
Ru: 0.0000 0.5000 0.0000 (multiplicity 4)

Values from the calculation:
- E_tot (eV for the cell shown) = -121.1

---

This record from Alexandria describes a geometry-optimized La2BeAsPd6 structure. The functional is GGA-PBE.

a = 5.9080 Å, b = 5.9344 Å, c = 7.1588 Å
α = 66.27°, β = 65.88°, γ = 60.29°
Space group P-1 (No. 2)
One atom of each set of equivalent atoms:
La: 0.2293 0.2344 0.3058 (multiplicity 2)
Be: 0.0000 0.0000 0.0000 (multiplicity 1)
As: 0.5000 0.5000 0.5000 (multiplicity 1)
Pd: 0.2400 0.2336 0.8042 (multiplicity 2)
Pd: 0.2397 0.7089 0.8135 (multiplicity 2)
Pd: 0.2784 0.7655 0.1956 (multiplicity 2)

Values from the calculation:
- formation energy from the elements (kcal/mol of atoms) = -16.250

---

This record from Alexandria describes a geometry-optimized Er3GeTe6 structure. The functional is GGA-PBE.

a = 11.9930 Å, b = 14.8776 Å, c = 7.2934 Å
α = 90.00°, β = 90.00°, γ = 90.00°
Space group Cmc2_1 (No. 36)
One atom of each set of equivalent atoms:
Er: 0.0000 0.0935 0.0000 (multiplicity 4)
Er: 0.1826 0.4026 0.1064 (multiplicity 8)
Ge: 0.0000 0.2978 0.6462 (multiplicity 4)
Te: 0.0000 0.2782 0.2615 (multiplicity 4)
Te: 0.0000 0.4671 0.8068 (multiplicity 4)
Te: 0.1635 0.0375 0.3002 (multiplicity 8)
Te: 0.1744 0.2293 0.8417 (multiplicity 8)

Values from the calculation:
- formation energy from raw total energies (eV/f.u.) = -9.753

---

This record from Alexandria describes a geometry-optimized SnBRh2 structure. The functional is GGA-PBE.

a = 6.0914 Å, b = 6.0914 Å, c = 6.0914 Å
α = 90.00°, β = 90.00°, γ = 90.00°
Space group Fm-3m (No. 225)
One atom of each set of equivalent atoms:
Sn: 0.0000 0.0000 0.0000 (multiplicity 4)
B: 0.0000 0.0000 0.5000 (multiplicity 4)
Rh: 0.2500 0.2500 0.2500 (multiplicity 8)

Values from the calculation:
- excess energy over the best structure of this formula in the dataset (meV per atom) = 626
- formation energy from the elements (kcal/mol of atoms) = 6.285

---

This record from Alexandria describes a geometry-optimized Be2SiPb structure. The functional is GGA-PBE.

a = 5.6851 Å, b = 7.2600 Å, c = 3.1868 Å
α = 90.00°, β = 90.00°, γ = 90.00°
Space group Cmmm (No. 65)
One atom of each set of equivalent atoms:
Be: 0.2500 0.2500 0.0000 (multiplicity 4)
Si: 0.0000 0.0000 0.5000 (multiplicity 2)
Pb: 0.0000 0.5000 0.5000 (multiplicity 2)

Values from the calculation:
- excess energy over the best structure of this formula in the dataset (meV per atom) = 623
- formation energy from raw total energies (eV/f.u.) = 3.517

---

This record from Alexandria describes a geometry-optimized Si2NiHg structure. The functional is GGA-PBE.

a = 6.3585 Å, b = 6.3585 Å, c = 6.3585 Å
α = 90.00°, β = 90.00°, γ = 90.00°
Space group F-43m (No. 216)
One atom of each set of equivalent atoms:
Si: 0.0000 0.0000 0.0000 (multiplicity 4)
Si: 0.2500 0.2500 0.2500 (multiplicity 4)
Ni: 0.0000 0.0000 0.5000 (multiplicity 4)
Hg: 0.2500 0.2500 0.7500 (multiplicity 4)

Values from the calculation:
- formation energy from raw total energies (eV/f.u.) = 2.268

---

This record from Alexandria describes a geometry-optimized Y2MnCl structure. The functional is GGA-PBE.

a = 7.4685 Å, b = 7.5634 Å, c = 3.2853 Å
α = 90.00°, β = 98.52°, γ = 90.00°
Space group C2/m (No. 12)
One atom of each set of equivalent atoms:
Y: 0.2500 0.2500 0.0000 (multiplicity 4)
Mn: 0.0000 0.0000 0.5000 (multiplicity 2)
Cl: 0.0000 0.5000 0.5000 (multiplicity 2)

Values from the calculation:
- excess energy over the best structure of this formula in the dataset (meV per atom) = 171
- formation energy from raw total energies (eV/f.u.) = -1.215

---

This record from Alexandria describes a geometry-optimized Dy4Er7Tm2 structure. The functional is GGA-PBE.

a = 5.9911 Å, b = 5.9911 Å, c = 13.1092 Å
α = 90.00°, β = 90.00°, γ = 120.00°
Space group P-31m (No. 162)
One atom of each set of equivalent atoms:
Dy: 0.0000 0.0000 0.1070 (multiplicity 2)
Dy: 0.3333 0.6667 0.0000 (multiplicity 2)
Er: 0.0000 0.0000 0.5000 (multiplicity 1)
Er: 0.0000 0.3545 0.2862 (multiplicity 6)
Tm: 0.3333 0.6667 0.5000 (multiplicity 2)

Values from the calculation:
- formation energy from the elements (kcal/mol of atoms) = 3.939